First-principles (GGA-PBE) data for NiBiP2S after structural relaxation, as listed in Alexandria.

Results
SG: P4/mmm, No. 123
ΔE_f (raw) (eV per atom): 1.644
Excess energy over the best structure of this formula in the dataset (eV per atom): 1.271
Mass density (g/cm³): 4.3

a b c (Å): 5.2386 5.2386 5.1417
angles (deg): 90.00 90.00 90.00
Fractional positions:
Ni1 0.0000 0.0000 0.0000
Bi1 0.5000 0.5000 0.5000
P1 0.0000 0.5000 0.5000
P2 0.5000 0.0000 0.5000
S1 0.5000 0.5000 0.0000